## BaCrF3 (PBE+U)

Data for a geometry-optimized BaCrF3 structure.

Energy ... -5.3470 eV per atom
Offset from the most stable computed form ... 260 meV/atom

Structure (CIF):
```
data_BaCrF3
_chemical_formula_sum 'Ba1 Cr1 F3'
_cell_length_a 5.071
_cell_length_b 5.071
_cell_length_c 5.071
_cell_angle_alpha 90.00
_cell_angle_beta 90.00
_cell_angle_gamma 90.00
_space_group_name_H-M_alt 'P m -3 m'
_space_group_IT_number 221
_space_group_name_Hall '-P 4 2 3'
loop_
_atom_site_label
_atom_site_fract_x
_atom_site_fract_y
_atom_site_fract_z
Ba1 0.000 0.000 0.000
Cr1 0.500 0.500 0.500
F1 0.000 0.000 0.500
```